--- a ---
DFT (PBE-GGA) results for a geometry-optimized Sm6Dy2Sc structure.

M_tot: 0.0 Bohr magnetons per cell
DOS(E_F): 1.982 states/eV/atom

abc: 11.5647 3.4489 15.2407
angles: 90.00 101.29 90.00
Space group C2/m (No. 12)
Symmetry-distinct sites (fractional):
Sm 0.0427 0.0000 0.2248 (multiplicity 4)
Sm 0.1264 0.5000 0.4358 (multiplicity 4)
Sm 0.2051 0.5000 0.8995 (multiplicity 4)
Dy 0.1646 0.5000 0.6682 (multiplicity 4)
Sc 0.0000 0.0000 0.0000 (multiplicity 2)

***

--- b ---
DFT (PBE-GGA) results for a geometry-optimized Sm6Dy2Sc structure.

M_tot: 0.0 Bohr magnetons per cell
DOS(E_F): 1.449 states/eV/atom

abc: 16.1941 11.6534 6.1593
angles: 90.00 96.09 90.00
Space group C2/c (No. 15)
Symmetry-distinct sites (fractional):
Sm 0.0483 0.1421 0.0118 (multiplicity 8)
Sm 0.1119 0.3640 0.3247 (multiplicity 8)
Sm 0.2086 0.3588 0.8523 (multiplicity 8)
Dy 0.1699 0.1001 0.5725 (multiplicity 8)
Sc 0.0000 0.3961 0.7500 (multiplicity 4)

***

Bottom line: b, by a margin of 101 meV/atom.